Model a:
Dy2PuPa | PBE | relaxed

The space group is P4/mmm (No. 123) and the conventional cell measures 4.646, 4.646 and 5.099 Å, with angles of 90.00, 90.00 and 90.00 degrees. The inequivalent atoms are Dy at (0.000, 0.500, 0.000), Pu at (0.000, 0.000, 0.500) and Pa at (0.500, 0.500, 0.500).

Its theoretical density is 12.07 g/cm3. As for the density of states at the Fermi level: 9.82 states/eV/cell.

***

Model b:
Dy2PuPa | PBE | relaxed

The space group is R-3m (No. 166, hexagonal axes) and the conventional cell measures 3.3607, 3.3607 and 35.7793 Å, with angles of 90.00, 90.00 and 120.00 degrees. The inequivalent atoms are Dy at (0.0000, 0.0000, 0.0910), Pu at (0.0000, 0.0000, 0.0000) and Pa at (0.0000, 0.0000, 0.5000).

Its theoretical density is 11.39 g/cm3. As for the density of states at the Fermi level: 31.54 states/eV/cell.

***

How far above the most stable structure does each one sit? In kJ/mol of atoms: model a 0.0; model b 6.9.

***

Model a:
Dy2PaRh | PBE | relaxed

The space group is P4/mmm (No. 123) and the conventional cell measures 3.390, 3.390 and 8.343 Å, with angles of 90.00, 90.00 and 90.00 degrees. The inequivalent atoms are Dy at (0.000, 0.000, 0.205), Pa at (0.500, 0.500, 0.500) and Rh at (0.500, 0.500, 0.000).

Its theoretical density is 11.41 g/cm3. As for the density of states at the Fermi level: 4.82 states/eV/cell.

***

Model b:
Dy2PaRh | PBE | relaxed

The space group is R-3m (No. 166, hexagonal axes) and the conventional cell measures 3.3074, 3.3074 and 31.6913 Å, with angles of 90.00, 90.00 and 120.00 degrees. The inequivalent atoms are Dy at (0.0000, 0.0000, 0.1021), Pa at (0.0000, 0.0000, 0.0000) and Rh at (0.0000, 0.0000, 0.5000).

Its theoretical density is 10.93 g/cm3. As for the density of states at the Fermi level: 14.11 states/eV/cell.

***

How far above the most stable structure does each one sit? In kJ/mol of atoms: model a 0.0; model b 28.4.

***

Model a:
DyPaRh2 | PBE | relaxed

The space group is P4/mmm (No. 123) and the conventional cell measures 3.461, 3.461 and 6.948 Å, with angles of 90.00, 90.00 and 90.00 degrees. The inequivalent atoms are Dy at (0.000, 0.000, 0.000), Pa at (0.000, 0.000, 0.500) and Rh at (0.500, 0.500, 0.279).

Its theoretical density is 11.96 g/cm3. As for the density of states at the Fermi level: 3.19 states/eV/cell.

***

Model b:
DyPaRh2 | PBE | relaxed

The space group is Fm-3m (No. 225) and the conventional cell measures 6.885, 6.885 and 6.885 Å, with angles of 90.00, 90.00 and 90.00 degrees. The inequivalent atoms are Dy at (0.000, 0.000, 0.000), Pa at (0.000, 0.000, 0.500) and Rh at (0.250, 0.250, 0.250).

Its theoretical density is 12.20 g/cm3. As for the density of states at the Fermi level: 25.20 states/eV/cell.

***

Model c:
DyPaRh2 | PBE | relaxed

The space group is P2_1/m (No. 11) and the conventional cell measures 5.933, 4.028 and 7.632 Å, with angles of 90.00, 109.50 and 90.00 degrees. The inequivalent atoms are Dy at (0.224, 0.250, 0.437), Pa at (0.219, 0.250, 0.929), Rh at (0.292, 0.750, 0.181) and Rh at (0.321, 0.750, 0.732).

Its theoretical density is 11.58 g/cm3. As for the density of states at the Fermi level: 6.13 states/eV/cell.

***

Model d:
DyPaRh2 | PBE | relaxed

The space group is R3m (No. 160, hexagonal axes) and the conventional cell measures 3.8378, 3.8378 and 21.1284 Å, with angles of 90.00, 90.00 and 120.00 degrees. The inequivalent atoms are Dy at (0.0000, 0.0000, 0.0000), Pa at (0.0000, 0.0000, 0.1709), Rh at (0.0000, 0.0000, 0.5798) and Rh at (0.0000, 0.0000, 0.7594).

Its theoretical density is 11.08 g/cm3. As for the density of states at the Fermi level: 6.16 states/eV/cell.

***

How far above the most stable structure does each one sit? In kJ/mol of atoms: model a 11.1; model b 18.9; model c 0.0; model d 12.7.

***

Model a:
DyPaRh4 | PBE | relaxed

The space group is Pmmm (No. 47) and the conventional cell measures 3.941, 3.952 and 7.885 Å, with angles of 90.00, 90.00 and 90.00 degrees. The inequivalent atoms are Dy at (0.000, 0.000, 0.000), Pa at (0.500, 0.500, 0.500), Rh at (0.000, 0.500, 0.267) and Rh at (0.500, 0.000, 0.267).

Its theoretical density is 10.89 g/cm3. As for the density of states at the Fermi level: 3.81 states/eV/cell.

***

Model b:
DyPaRh4 | PBE | relaxed

The space group is F-43m (No. 216) and the conventional cell measures 7.536, 7.536 and 7.536 Å, with angles of 90.00, 90.00 and 90.00 degrees. The inequivalent atoms are Dy at (0.000, 0.000, 0.000), Pa at (0.250, 0.250, 0.250) and Rh at (0.125, 0.125, 0.625).

Its theoretical density is 12.50 g/cm3. As for the density of states at the Fermi level: 23.91 states/eV/cell.

***

How far above the most stable structure does each one sit? In kJ/mol of atoms: model a 14.5; model b 0.0.